This record from Alexandria via LeMat-Bulk describes a relaxed FeSi4Ru crystal. The functional is PBE.

a = 4.8049 Å, b = 4.8049 Å, c = 4.8049 Å
α = 60.00°, β = 60.00°, γ = 60.00°
Atoms (fractional coordinates):
1 Si 0.6249 0.6249 0.6249
2 Si 0.6249 0.1253 0.6249
3 Si 0.1253 0.6249 0.6249
4 Si 0.6249 0.6249 0.1253
5 Ru 0.0000 0.0000 0.0000
6 Fe 0.2500 0.2500 0.2500

Values from the calculation:
DOS(E_F) = 4.47 states/eV/f.u.
Energy = -6.130 eV/atom